# 1
This record from the Open Quantum Materials Database describes an optimized crystal structure of TbMgB4. The functional is PBE.

a = 3.1885 Å, b = 3.1885 Å, c = 7.3833 Å
α = 90.00°, β = 90.00°, γ = 120.00°
Space group P6/mmm (No. 191)
Symmetry-distinct sites (fractional):
Tb 0.0000 0.0000 0.0000 [1 per cell]
Mg 0.0000 0.0000 0.5000 [1 per cell]
B 0.3333 0.6667 0.2653 [4 per cell]

Summary:
relative energy among the computed polymorphs: 0.0098 eV per atom

=====

# 2
This record from the Open Quantum Materials Database describes an optimized crystal structure of MgTcB2. The functional is PBE.

a = 5.560 Å, b = 5.560 Å, c = 5.560 Å
α = 90.00°, β = 90.00°, γ = 90.00°
Space group F-43m (No. 216)
Symmetry-distinct sites (fractional):
Mg 0.000 0.000 0.000 [4 per cell]
Tc 0.250 0.250 0.250 [4 per cell]
B 0.000 0.000 0.500 [4 per cell]
B 0.250 0.250 0.750 [4 per cell]

=====

| no. | DFT total energy (eV/atom) | calculated volume (A^3/atom) |
| --- | --- | --- |
| 1 | -5.773 | 10.83 |
| 2 | -5.083 | 10.74 |